The following is a GGA+U calculation of a relaxed LaWOF2 crystal, from Alexandria.

Properties
SG: P4/mmm (123)
calculated density: 5.9 Mg/m³
D(E_F): 0.50 states/eV per cell
uncorrected energy: -30.3 eV per cell

Cell: 4.779 4.779 4.629 Å, 90.00 90.00 90.00°
Each line ends with the local moment (μB).
Atoms (fractional coordinates):
F 0.500 0.000 0.000  0.05
F 0.000 0.500 0.000  0.05
La 0.000 0.000 0.000  0.00
O 0.000 0.000 0.500  0.14
W 0.500 0.500 0.500  3.83